1.
# Er3Zn7Pt4, optimized geometry, DFT GGA-PBE
# **Symmetry**: No. 12
# **Crystal system**: monoclinic
# **Spin magnetization**: 0.0 μB/cell
# **DOS(E_F)**: 6.1 states/eV/f.u.
# **DFT formation energy**: -0.739 eV per atom
data_Er3Zn7Pt4
_symmetry_space_group_name_H-M 'P 1'
_symmetry_Int_Tables_number 1
_cell_length_a 4.3204
_cell_length_b 7.8925
_cell_length_c 8.3280
_cell_angle_alpha 69.61
_cell_angle_beta 74.97
_cell_angle_gamma 74.12
loop_
_symmetry_equiv_pos_as_xyz
'x,y,z'
loop_
_atom_site_label
_atom_site_type_symbol
_atom_site_fract_x
_atom_site_fract_y
_atom_site_fract_z
Er1 Er 0.2948 0.1956 0.2147
Er2 Er 0.7052 0.8044 0.7853
Er3 Er 0.0000 0.5000 0.5000
Zn1 Zn 0.3280 0.8286 0.5155
Zn2 Zn 0.4951 0.1941 0.8156
Zn3 Zn 0.8547 0.3677 0.9230
Zn4 Zn 0.6720 0.1714 0.4845
Zn5 Zn 0.1453 0.6323 0.0770
Zn6 Zn 0.0000 0.0000 0.0000
Zn7 Zn 0.5049 0.8059 0.1844
Pt1 Pt 0.6607 0.4586 0.2200
Pt2 Pt 0.3393 0.5414 0.7800
Pt3 Pt 0.8829 0.9030 0.3313
Pt4 Pt 0.1171 0.0970 0.6687

---

2.
# SrGa2I8, optimized geometry, DFT GGA-PBE
# **Symmetry**: No. 12
# **Crystal system**: monoclinic
# **Raw formation energy**: -0.82 eV per atom
# **Spin magnetization**: 0.0 μB/cell
# **DOS(E_F)**: 0.0 states/eV/f.u.
data_SrGa2I8
_symmetry_space_group_name_H-M 'P 1'
_symmetry_Int_Tables_number 1
_cell_length_a 7.2977
_cell_length_b 9.1734
_cell_length_c 9.1734
_cell_angle_alpha 77.78
_cell_angle_beta 82.54
_cell_angle_gamma 82.54
loop_
_symmetry_equiv_pos_as_xyz
'x,y,z'
loop_
_atom_site_label
_atom_site_type_symbol
_atom_site_fract_x
_atom_site_fract_y
_atom_site_fract_z
Sr1 Sr 0.0000 0.0000 0.0000
Ga1 Ga 0.6661 0.7967 0.7967
Ga2 Ga 0.3339 0.2033 0.2033
I1 I 0.2411 0.2940 0.9294
I2 I 0.7589 0.0706 0.7060
I3 I 0.3081 0.7971 0.7971
I4 I 0.6919 0.2029 0.2029
I5 I 0.2411 0.9294 0.2940
I6 I 0.7589 0.7060 0.0706
I7 I 0.8276 0.6247 0.6247
I8 I 0.1724 0.3753 0.3753

---

3.
# TcAsBr2, optimized geometry, DFT GGA-PBE
# **Symmetry**: No. 160
# **Crystal system**: trigonal
# **Raw formation energy**: 0.11 eV per atom
# **Spin magnetization**: 0.0 μB/cell
# **E above lowest polymorph**: 145 meV/atom
# **DOS(E_F)**: 4.3 states/eV/f.u.
data_TcAsBr2
_symmetry_space_group_name_H-M 'P 1'
_symmetry_Int_Tables_number 1
_cell_length_a 9.3909
_cell_length_b 9.3909
_cell_length_c 9.3909
_cell_angle_alpha 20.80
_cell_angle_beta 20.80
_cell_angle_gamma 20.80
loop_
_symmetry_equiv_pos_as_xyz
'x,y,z'
loop_
_atom_site_label
_atom_site_type_symbol
_atom_site_fract_x
_atom_site_fract_y
_atom_site_fract_z
As1 As 0.7656 0.7656 0.7656
Tc1 Tc 0.4888 0.4888 0.4888
Br1 Br 0.0226 0.0226 0.0226
Br2 Br 0.2229 0.2229 0.2229

---

It is found that the calculated volume values, taken in the order of the records, are 251.7 591.8 91.5 Å³ per cell.